# 1
First-principles (PBE) data for HgTe2Pb after structural relaxation, as listed in Alexandria.

abc: 3.859 5.656 10.894
angles: 90.00 90.00 90.00
Space group Imm2 (No. 44)
Inequivalent atoms, fractional coordinates:
Hg1 0.000 0.000 0.000 x2
Te1 0.000 0.000 0.514 x2
Te2 0.000 0.500 0.250 x2
Pb1 0.000 0.500 0.764 x2

Results
Total energy in eV per atom: -2.531
Uncorrected formation energy in eV per formula unit: 0.17
D(E_F) in states/eV/f.u.: 2.7

# 2
First-principles (PBE) data for TlCrSi2 after structural relaxation, as listed in Alexandria.

abc: 4.047 4.047 8.666
angles: 90.00 90.00 90.00
Space group I4/mmm (No. 139)
Inequivalent atoms, fractional coordinates:
Tl1 0.000 0.000 0.000 x2
Cr1 0.000 0.000 0.500 x2
Si1 0.000 0.500 0.250 x4

Results
Total energy in eV per atom: -5.067
Uncorrected formation energy in eV per formula unit: 2.57
D(E_F) in states/eV/f.u.: 2.4
Relative energy among the computed polymorphs in eV per atom: 0.404

# 3
First-principles (PBE) data for YTcOs2 after structural relaxation, as listed in Alexandria.

abc: 10.644 2.906 4.917
angles: 90.00 116.65 90.00
Space group Cm (No. 8)
Inequivalent atoms, fractional coordinates:
Y1 0.000 0.000 0.000 x2
Tc1 0.219 0.000 0.809 x2
Os1 0.269 0.500 0.398 x2
Os2 0.492 0.000 0.470 x2

Results
Total energy in eV per atom: -9.584
D(E_F) in states/eV/f.u.: 4.0
DFT formation energy in eV per atom: 0.24
Relative energy among the computed polymorphs in eV per atom: 0.062

# 4
First-principles (PBE) data for MnTeOs2Rh after structural relaxation, as listed in Alexandria.

abc: 4.786 4.786 4.714
angles: 90.00 90.00 90.00
Space group P4/mmm (No. 123)
Inequivalent atoms, fractional coordinates:
Mn1 0.000 0.000 0.000 x1
Te1 0.500 0.500 0.500 x1
Os1 0.000 0.500 0.500 x2
Rh1 0.500 0.500 0.000 x1

Results
Total energy in eV per atom: -6.003
Uncorrected formation energy in eV per formula unit: 12.11
D(E_F) in states/eV/f.u.: 9.5

# 5
First-principles (PBE) data for TaCN3 after structural relaxation, as listed in Alexandria.

abc: 4.053 4.053 4.053
angles: 90.00 90.00 90.00
Space group Pm-3m (No. 221)
Inequivalent atoms, fractional coordinates:
Ta1 0.000 0.000 0.000 x1
C1 0.500 0.500 0.500 x1
N1 0.000 0.000 0.500 x3

Results
Total energy in eV per atom: -7.196
Uncorrected formation energy in eV per formula unit: 10.08
D(E_F) in states/eV/f.u.: 3.1

# 6
First-principles (PBE) data for RbTeH2Br8 after structural relaxation, as listed in Alexandria.

abc: 7.040 7.379 9.283
angles: 86.51 72.67 80.03
Space group P-1 (No. 2)
Inequivalent atoms, fractional coordinates:
Rb1 0.000 0.000 0.000 x1
Te1 0.500 0.000 0.500 x1
H1 0.347 0.325 0.161 x2
Br1 0.170 0.235 0.649 x2
Br2 0.225 0.385 0.057 x2
Br3 0.267 0.866 0.368 x2
Br4 0.412 0.744 0.722 x2

Results
Total energy in eV per atom: -2.494
D(E_F) in states/eV/f.u.: 6.1

# 7
First-principles (PBE) data for KLiPuSe3 after structural relaxation, as listed in Alexandria.

abc: 9.042 4.249 9.455
angles: 90.00 106.67 90.00
Space group P2_1/m (No. 11)
Inequivalent atoms, fractional coordinates:
K1 0.206 0.250 0.253 x2
Li1 0.081 0.250 0.594 x2
Pu1 0.323 0.750 0.847 x2
Se1 0.125 0.250 0.872 x2
Se2 0.210 0.750 0.542 x2
Se3 0.466 0.750 0.158 x2

Results
Total energy in eV per atom: -5.926
Uncorrected formation energy in eV per formula unit: -7.76
D(E_F) in states/eV/f.u.: 10.0

# 8
First-principles (PBE) data for LiVGe2 after structural relaxation, as listed in Alexandria.

abc: 4.593 4.593 2.800
angles: 90.00 90.00 90.00
Space group P4/mmm (No. 123)
Inequivalent atoms, fractional coordinates:
Li1 0.000 0.000 0.000 x1
V1 0.500 0.500 0.000 x1
Ge1 0.000 0.500 0.500 x2

Results
Total energy in eV per atom: -5.143
D(E_F) in states/eV/f.u.: 2.9
DFT formation energy in eV per atom: -0.08
Relative energy among the computed polymorphs in eV per atom: 0.046

# 9
First-principles (PBE) data for NaSc2Mo2 after structural relaxation, as listed in Alexandria.

abc: 8.446 8.446 2.996
angles: 90.00 90.00 90.00
Space group P4/mbm (No. 127)
Inequivalent atoms, fractional coordinates:
Na1 0.000 0.000 0.000 x2
Sc1 0.193 0.307 0.000 x4
Mo1 0.098 0.598 0.500 x4

Results
Total energy in eV per atom: -6.670
D(E_F) in states/eV/f.u.: 4.2
DFT formation energy in eV per atom: 0.46
Relative energy among the computed polymorphs in eV per atom: 0.000

# 10
First-principles (PBE) data for CsBi3P after structural relaxation, as listed in Alexandria.

abc: 5.661 5.661 5.661
angles: 90.00 90.00 90.00
Space group Pm-3m (No. 221)
Inequivalent atoms, fractional coordinates:
Cs1 0.000 0.000 0.000 x1
Bi1 0.000 0.500 0.500 x3
P1 0.500 0.500 0.500 x1

Results
Total energy in eV per atom: -3.368
D(E_F) in states/eV/f.u.: 5.0
DFT formation energy in eV per atom: 0.21
Relative energy among the computed polymorphs in eV per atom: 0.000

# 11
First-principles (PBE) data for B5C after structural relaxation, as listed in Alexandria.

abc: 11.154 2.798 5.666
angles: 90.00 95.07 90.00
Space group Cm (No. 8)
Inequivalent atoms, fractional coordinates:
B1 0.000 0.000 0.000 x2
B2 0.008 0.000 0.312 x2
B3 0.080 0.500 0.423 x2
B4 0.109 0.000 0.808 x2
B5 0.137 0.000 0.195 x2
B6 0.273 0.500 0.641 x2
B7 0.289 0.000 0.146 x2
B8 0.371 0.500 0.125 x2
B9 0.395 0.000 0.907 x2
B10 0.413 0.000 0.405 x2
C1 0.139 0.500 0.696 x2
C2 0.342 0.000 0.633 x2

Results
Total energy in eV per atom: -6.905
D(E_F) in states/eV/f.u.: 0.7
DFT formation energy in eV per atom: 0.20
Relative energy among the computed polymorphs in eV per atom: 0.000

# 12
First-principles (PBE) data for Li2CaPt2 after structural relaxation, as listed in Alexandria.

abc: 3.930 3.930 11.970
angles: 90.00 90.00 90.00
Space group I4/mmm (No. 139)
Inequivalent atoms, fractional coordinates:
Li1 0.000 0.500 0.250 x4
Ca1 0.000 0.000 0.000 x2
Pt1 0.000 0.000 0.389 x4

Results
Total energy in eV per atom: -4.160
D(E_F) in states/eV/f.u.: 0.5
DFT formation energy in eV per atom: -0.58
Relative energy among the computed polymorphs in eV per atom: 0.057